1.
KPtCl | PBE | optimized geometry

Cell: 5.139 5.139 6.260 Å, 90.00 90.00 90.00°
Space group P4/nmm (No. 129, origin choice 2)
Asymmetric unit:
K 0.250 0.250 0.138 [2 per cell]
Pt 0.250 0.250 0.617 [2 per cell]
Cl 0.250 0.750 0.500 [2 per cell]

Energy above the most stable polymorph in this dataset, meV per atom: 798
Total DFT energy (no corrections), eV/atom: -3.0071

***

2.
KPtCl | PBE | optimized geometry

Cell: 4.471 4.593 8.299 Å, 86.02 88.70 89.72°
Space group P1 (No. 1)
Asymmetric unit:
K 0.000 0.000 0.000 [1 per cell]
K 0.045 0.080 0.430 [1 per cell]
Pt 0.542 0.572 0.326 [1 per cell]
Pt 0.543 0.580 0.636 [1 per cell]
Cl 0.039 0.546 0.701 [1 per cell]
Cl 0.506 0.509 0.054 [1 per cell]

Energy above the most stable polymorph in this dataset, meV per atom: 246
Total DFT energy (no corrections), eV/atom: -3.5588

***

3.
KPtCl | PBE | optimized geometry

Cell: 4.783 4.795 9.177 Å, 98.56 102.24 90.03°
Space group P1 (No. 1)
Asymmetric unit:
K 0.000 0.000 0.000 [1 per cell]
K 0.322 0.372 0.570 [1 per cell]
Pt 0.594 0.284 0.231 [1 per cell]
Pt 0.628 0.807 0.310 [1 per cell]
Cl 0.143 0.810 0.354 [1 per cell]
Cl 0.908 0.440 0.783 [1 per cell]

Energy above the most stable polymorph in this dataset, meV per atom: 204
Total DFT energy (no corrections), eV/atom: -3.6011

***

4.
K2PtCl | PBE | optimized geometry

Cell: 5.765 3.128 12.253 Å, 90.00 90.00 90.00°
Space group Amm2 (No. 38)
Asymmetric unit:
K 0.000 0.000 0.000 [2 per cell]
K 0.500 0.000 0.235 [2 per cell]
Pt 0.000 0.000 0.742 [2 per cell]
Cl 0.500 0.000 0.502 [2 per cell]

Energy above the most stable polymorph in this dataset, meV per atom: 127
Total DFT energy (no corrections), eV/atom: -3.0666

***

5.
KPtCl3 | PBE | optimized geometry

Cell: 4.979 4.979 4.979 Å, 90.00 90.00 90.00°
Space group Pm-3m (No. 221)
Asymmetric unit:
K 0.000 0.000 0.000 [1 per cell]
Pt 0.500 0.500 0.500 [1 per cell]
Cl 0.000 0.500 0.500 [3 per cell]

Total DFT energy (no corrections), eV/atom: -3.4599

***

6.
K2RbPtCl6 | PBE | optimized geometry

Cell: 7.1223 7.1223 47.6821 Å, 90.00 90.00 120.00°
Space group R-3m (No. 166, hexagonal axes)
Asymmetric unit:
K 0.0000 0.0000 0.1470 [6 per cell]
K 0.0000 0.0000 0.3141 [6 per cell]
Rb 0.0000 0.0000 0.4157 [6 per cell]
Pt 0.0000 0.0000 0.0000 [3 per cell]
Pt 0.0000 0.0000 0.5000 [3 per cell]
Cl 0.0108 0.5054 0.1368 [18 per cell]
Cl 0.0127 0.5064 0.6966 [18 per cell]

Total DFT energy (no corrections), eV/atom: -3.3196

***

7.
KRe2PtCl | PBE | optimized geometry

Cell: 4.447 4.447 4.986 Å, 90.00 90.00 90.00°
Space group P4/mmm (No. 123)
Asymmetric unit:
K 0.000 0.000 0.000 [1 per cell]
Re 0.000 0.500 0.500 [2 per cell]
Pt 0.500 0.500 0.000 [1 per cell]
Cl 0.500 0.500 0.500 [1 per cell]

Total DFT energy (no corrections), eV/atom: -4.9764

***

8.
KPtRhCl6 | PBE | optimized geometry

Cell: 6.4733 6.4733 6.9080 Å, 90.00 90.00 120.00°
Space group P312 (No. 149)
Asymmetric unit:
K 0.0000 0.0000 0.0000 [1 per cell]
Pt 0.3333 0.6667 0.5000 [1 per cell]
Rh 0.6667 0.3333 0.5000 [1 per cell]
Cl 0.3755 0.0204 0.6933 [6 per cell]

Total DFT energy (no corrections), eV/atom: -3.5614

***

9.
KTa2PtCl | PBE | optimized geometry

Cell: 4.864 4.864 8.041 Å, 90.00 90.00 90.00°
Space group P4/mmm (No. 123)
Asymmetric unit:
K 0.000 0.000 0.000 [1 per cell]
Ta 0.000 0.500 0.500 [2 per cell]
Pt 0.500 0.500 0.500 [1 per cell]
Cl 0.500 0.500 0.000 [1 per cell]

Total DFT energy (no corrections), eV/atom: -5.6042

***

10.
KTlPtCl2 | PBE | optimized geometry

Cell: 5.047 5.047 5.823 Å, 90.00 90.00 90.00°
Space group P4/mmm (No. 123)
Asymmetric unit:
K 0.000 0.000 0.000 [1 per cell]
Tl 0.500 0.500 0.000 [1 per cell]
Pt 0.000 0.000 0.500 [1 per cell]
Cl 0.000 0.500 0.500 [2 per cell]

Total DFT energy (no corrections), eV/atom: -2.9049

***

11.
K2PuCl4 | PBE | optimized geometry

Cell: 8.078 7.888 8.740 Å, 90.00 106.53 90.00°
Space group P2_1/m (No. 11)
Asymmetric unit:
K 0.162 0.250 0.044 [2 per cell]
K 0.204 0.250 0.543 [2 per cell]
Pu 0.304 0.750 0.824 [2 per cell]
Cl 0.044 0.512 0.755 [4 per cell]
Cl 0.477 0.250 0.881 [2 per cell]
Cl 0.479 0.250 0.357 [2 per cell]

Total DFT energy (no corrections), eV/atom: -5.1798

***

12.
K3Pu2Cl8 | PBE | optimized geometry

Cell: 15.577 8.635 7.484 Å, 90.00 107.74 90.00°
Space group C2/m (No. 12)
Asymmetric unit:
K 0.000 0.000 0.000 [2 per cell]
K 0.000 0.259 0.500 [4 per cell]
Pu 0.247 0.500 0.467 [4 per cell]
Cl 0.124 0.000 0.724 [4 per cell]
Cl 0.139 0.500 0.691 [4 per cell]
Cl 0.148 0.232 0.292 [8 per cell]

Total DFT energy (no corrections), eV/atom: -5.4975

***

13.
K3PuCl8 | PBE | optimized geometry

Cell: 7.160 7.160 7.160 Å, 90.00 90.00 90.00°
Space group Pm-3m (No. 221)
Asymmetric unit:
K 0.000 0.000 0.500 [3 per cell]
Pu 0.500 0.500 0.500 [1 per cell]
Cl 0.279 0.279 0.279 [8 per cell]

Energy above the most stable polymorph in this dataset, meV per atom: 6
Total DFT energy (no corrections), eV/atom: -4.3219

***

14.
KPuCl3 | PBE | optimized geometry

Cell: 5.563 5.563 5.563 Å, 90.00 90.00 90.00°
Space group Pm-3m (No. 221)
Asymmetric unit:
K 0.000 0.000 0.000 [1 per cell]
Pu 0.500 0.500 0.500 [1 per cell]
Cl 0.000 0.500 0.500 [3 per cell]

Total DFT energy (no corrections), eV/atom: -5.9507

***

15.
KPuCl3 | PBE | optimized geometry

Cell: 8.639 4.123 8.717 Å, 90.00 98.12 90.00°
Space group P2_1/m (No. 11)
Asymmetric unit:
K 0.214 0.250 0.379 [2 per cell]
Pu 0.350 0.250 0.860 [2 per cell]
Cl 0.052 0.250 0.702 [2 per cell]
Cl 0.311 0.750 0.079 [2 per cell]
Cl 0.408 0.750 0.648 [2 per cell]

Total DFT energy (no corrections), eV/atom: -6.0134

***

16.
K3PuCl6 | PBE | optimized geometry

Cell: 7.565 8.056 13.263 Å, 90.00 124.48 90.00°
Space group P2_1/c (No. 14)
Asymmetric unit:
K 0.000 0.000 0.000 [2 per cell]
K 0.219 0.072 0.748 [4 per cell]
Pu 0.500 0.000 0.500 [2 per cell]
Cl 0.149 0.185 0.434 [4 per cell]
Cl 0.254 0.719 0.426 [4 per cell]
Cl 0.404 0.062 0.271 [4 per cell]

Total DFT energy (no corrections), eV/atom: -4.8417

***

17.
KPuCl3 | PBE | optimized geometry

Cell: 7.690 4.246 17.504 Å, 90.00 90.00 90.00°
Space group Pnma (No. 62)
Asymmetric unit:
K 0.128 0.250 0.201 [4 per cell]
Pu 0.237 0.750 0.459 [4 per cell]
Cl 0.007 0.250 0.412 [4 per cell]
Cl 0.128 0.750 0.056 [4 per cell]
Cl 0.180 0.250 0.799 [4 per cell]

Total DFT energy (no corrections), eV/atom: -6.0398

***

18.
K3PuCl8 | PBE | optimized geometry

Cell: 7.205 7.205 14.147 Å, 90.00 90.00 90.00°
Space group I4/mmm (No. 139)
Asymmetric unit:
K 0.000 0.000 0.000 [2 per cell]
K 0.000 0.500 0.250 [4 per cell]
Pu 0.000 0.000 0.500 [2 per cell]
Cl 0.220 0.220 0.388 [16 per cell]

Energy above the most stable polymorph in this dataset, meV per atom: 0
Total DFT energy (no corrections), eV/atom: -4.3278

***

19.
KPuCl2 | PBE | optimized geometry

Cell: 3.9114 3.9114 29.7662 Å, 90.00 90.00 120.00°
Space group R-3m (No. 166, hexagonal axes)
Asymmetric unit:
K 0.0000 0.0000 0.0000 [3 per cell]
Pu 0.0000 0.0000 0.5000 [3 per cell]
Cl 0.0000 0.0000 0.1056 [6 per cell]

Total DFT energy (no corrections), eV/atom: -6.0797

***

20.
K3Pu2Cl9 | PBE | optimized geometry

Cell: 13.1931 13.1931 17.9854 Å, 90.00 90.00 120.00°
Space group R-3c (No. 167, hexagonal axes)
Asymmetric unit:
K 0.0000 0.3088 0.2500 [18 per cell]
Pu 0.0000 0.0000 0.1434 [12 per cell]
Cl 0.0000 0.1528 0.7500 [18 per cell]
Cl 0.0308 0.1969 0.4166 [36 per cell]

Total DFT energy (no corrections), eV/atom: -5.3749

***

Across the entries above, formation energy (no corrections) takes the values -12 -564 -606 -546 -924 -1291 1800 -720 934 -265 -1764 -1903 -1622 -1757 -1820 -1971 -1846 -1628 -1299 -1905 meV/atom, respectively.